No. 1
TaAuBr, relaxed, DFT GGA-PBE; excess energy over the best structure of this formula in the dataset = 474 meV/atom; M_tot = 0.00 μB per formula unit; E_form (uncorrected) = 0.48 eV per atom; space-group type = P-6m2 (187); Fermi-level density of states = 2.82 states/eV/cell
1.0
4.6086 0.0000 0.0000
-2.3043 3.9912 0.0000
0.0000 0.0000 3.1312
Ta Au Br
1 1 1
Cartesian
0.0000 0.0000 0.0000
2.3043 1.3304 1.5656
0.0000 2.6608 0.0000

=====

No. 2
Sr3InP, relaxed, DFT GGA-PBE; formation energy = -0.671 eV per atom; excess energy over the best structure of this formula in the dataset = 0 meV/atom; M_tot = 0.00 μB per formula unit; space-group type = C2/m (12); Fermi-level density of states = 3.06 states/eV/cell
1.0
6.9027 -3.0047 0.0000
6.9027 3.0047 0.0000
-2.4918 0.0000 9.0963
Sr In P
6 2 2
Cartesian
0.5779 0.0000 1.9182
0.9002 0.0000 5.7688
4.6954 0.0000 0.8769
6.6182 0.0000 8.2194
10.4134 0.0000 3.3275
10.7357 0.0000 7.1781
4.3183 0.0000 5.1377
6.9954 0.0000 3.9586
-0.3982 0.0000 8.4558
11.7118 0.0000 0.6405

=====

No. 3
BPIrAu, relaxed, DFT GGA-PBE; formation energy = 0.120 eV per atom; excess energy over the best structure of this formula in the dataset = 88 meV/atom; M_tot = 0.00 μB per formula unit; space-group type = Amm2 (38); Fermi-level density of states = 1.09 states/eV/cell
1.0
2.8386 0.0000 0.0000
0.0000 1.6216 6.2422
0.0000 -1.6216 6.2422
B P Ir Au
1 1 1 1
Cartesian
0.0000 0.0000 0.0000
0.0000 0.0000 8.8284
1.4193 0.0000 6.9378
0.0000 0.0000 4.4224

=====

No. 4
NpCdNiPt, relaxed, DFT GGA-PBE; formation energy = -0.161 eV per atom; M_tot = 3.52 μB per formula unit; space-group type = F-43m (216); Fermi-level density of states = 8.76 states/eV/cell
1.0
0.0000 3.3463 3.3463
3.3463 0.0000 3.3463
3.3463 3.3463 0.0000
Np Cd Ni Pt
1 1 1 1
Cartesian
0.0000 0.0000 0.0000
3.3463 3.3463 3.3463
5.0194 5.0194 5.0194
1.6731 1.6731 1.6731